Record 1
DFT (PBE+U) results for Ba2AgMoO6 after structural relaxation.

Unit cell a=5.939 b=5.939 c=6.084 alpha=120.64 beta=120.64 gamma=60.74
Fractional positions:
Ba (0.250, 0.250, 0.250)
Ba (0.750, 0.750, 0.750)
Ag (0.000, 0.000, 0.500)
Mo (0.500, 0.500, 0.000)
O (0.247, 0.704, 0.200)
O (0.266, 0.266, 0.718)
O (0.296, 0.753, 0.800)
O (0.704, 0.247, 0.200)
O (0.734, 0.734, 0.282)
O (0.753, 0.296, 0.800)

Values from the calculation:
For the density of states at the Fermi level, the calculation gives 0.317 states/eV/atom. The calculation puts the total magnetization at 0.00 Bohr magnetons per cell. The final energy is -6.216 eV per atom. Its space-group type is C2/m (12).

***

Record 2
DFT (PBE+U) results for Ba3AgMo2O9 after structural relaxation.

Unit cell a=5.941 b=5.941 c=7.480 alpha=90.00 beta=90.00 gamma=120.00
Fractional positions:
Ba (0.000, 0.000, 0.000)
Ba (0.333, 0.667, 0.678)
Ba (0.667, 0.333, 0.322)
Ag (0.000, 0.000, 0.500)
Mo (0.333, 0.667, 0.166)
Mo (0.667, 0.333, 0.834)
O (0.000, 0.500, 0.000)
O (0.178, 0.356, 0.298)
O (0.178, 0.822, 0.298)
O (0.356, 0.178, 0.702)
O (0.500, 0.000, 0.000)
O (0.500, 0.500, 0.000)
O (0.644, 0.822, 0.298)
O (0.822, 0.178, 0.702)
O (0.822, 0.644, 0.702)

Values from the calculation:
For the density of states at the Fermi level, the calculation gives 0.129 states/eV/atom. The calculation puts the total magnetization at 1.00 Bohr magnetons per cell. The final energy is -6.525 eV per atom. Its space-group type is P-3m1 (164).

***

Record 3
DFT (PBE+U) results for Ba2Ag2MoO6 after structural relaxation.

Unit cell a=6.544 b=6.544 c=6.408 alpha=94.03 beta=94.03 gamma=120.73
Fractional positions:
Ba (0.165, 0.835, 0.000)
Ba (0.835, 0.165, 0.000)
Ag (0.369, 0.631, 0.500)
Ag (0.631, 0.369, 0.500)
Mo (0.500, 0.500, 0.000)
O (0.228, 0.228, 0.844)
O (0.273, 0.531, 0.176)
O (0.469, 0.727, 0.824)
O (0.531, 0.273, 0.176)
O (0.727, 0.469, 0.824)
O (0.772, 0.772, 0.156)

Values from the calculation:
For the density of states at the Fermi level, the calculation gives 0.000 states/eV/atom. The calculation puts the total magnetization at 0.00 Bohr magnetons per cell. The final energy is -5.838 eV per atom. Its space-group type is C2/m (12).

***

What did the third record say?
DFT (PBE+U) results for Ba2Ag2MoO6 after structural relaxation.

Unit cell a=6.544 b=6.544 c=6.408 alpha=94.03 beta=94.03 gamma=120.73
Fractional positions:
Ba (0.165, 0.835, 0.000)
Ba (0.835, 0.165, 0.000)
Ag (0.369, 0.631, 0.500)
Ag (0.631, 0.369, 0.500)
Mo (0.500, 0.500, 0.000)
O (0.228, 0.228, 0.844)
O (0.273, 0.531, 0.176)
O (0.469, 0.727, 0.824)
O (0.531, 0.273, 0.176)
O (0.727, 0.469, 0.824)
O (0.772, 0.772, 0.156)

Values from the calculation:
For the density of states at the Fermi level, the calculation gives 0.000 states/eV/atom. The calculation puts the total magnetization at 0.00 Bohr magnetons per cell. The final energy is -5.838 eV per atom. Its space-group type is C2/m (12).

***

- The highest total magnetization belongs to which entry?
  Ba3AgMo2O9